This record from the Alexandria database describes LiAcHo after structural relaxation. The functional is PBE-GGA.

The space group is P3m1 (No. 156) and the conventional cell measures 3.7025, 3.7025 and 8.5223 Å, with angles of 90.00, 90.00 and 120.00 degrees. Symmetry generates all atoms from Li at (0.0000, 0.0000, 0.0000), Ac at (0.6667, 0.3333, 0.3413) and Ho at (0.3333, 0.6667, 0.6912).

The value obtained for the density is 6.55 g/cm3. As for the uncorrected energy: -10.115 eV per formula unit. The formation energy is 0.5 eV/f.u. For the offset from the most stable computed form, the calculation gives 0.070 eV per atom.

=====

This record from the Alexandria database describes NbPdW2S after structural relaxation. The functional is PBE-GGA.

The space group is P4/mmm (No. 123) and the conventional cell measures 4.7800, 4.7800 and 4.8876 Å, with angles of 90.00, 90.00 and 90.00 degrees. Symmetry generates all atoms from Nb at (0.0000, 0.0000, 0.0000), Pd at (0.0000, 0.0000, 0.5000), W at (0.0000, 0.5000, 0.0000) and S at (0.5000, 0.5000, 0.5000).

The value obtained for the density is 8.91 g/cm3. As for the uncorrected energy: -34.349 eV per formula unit.

=====

We obtain size of the total moment values of 0.001; 0.000 μB per formula unit for the records listed above, in that order.